VASP calculation (GGA+U) on an optimized crystal structure of PaGa2NiO8.

Values from the calculation:
Fermi-level density of states ... 7.42 states/eV/cell
Symmetry ... I-4m2 (119)
Uncorrected energy ... -6.39 eV/atom

Cell: 5.9130 5.9130 5.9130 Å, 109.57 109.57 109.27°
Positions (direct):
1 Pa 0.0000 0.0000 0.0000
2 Ga 0.5000 0.5000 0.0000
3 Ga 0.7500 0.2500 0.5000
4 Ni 0.2500 0.7500 0.5000
5 O 0.3073 0.1084 0.8011
6 O 0.3073 0.5063 0.1989
7 O 0.3744 0.0737 0.3006
8 O 0.4937 0.6927 0.8011
9 O 0.7731 0.0737 0.6994
10 O 0.8916 0.6927 0.1989
11 O 0.9263 0.2269 0.3006
12 O 0.9263 0.6256 0.6994


VASP calculation (GGA+U) on an optimized crystal structure of GaNiPbO4.

Values from the calculation:
Fermi-level density of states ... 4.70 states/eV/cell
Symmetry ... Imma (74)
Uncorrected energy ... -5.32 eV/atom

Cell: 6.3021 6.3021 6.3021 Å, 119.38 119.22 91.22°
Positions (direct):
1 Ga 0.3791 0.1291 0.2500
2 Ga 0.6209 0.8709 0.7500
3 Ni 0.0000 0.5000 0.5000
4 Ni 0.5000 0.5000 0.0000
5 Pb 0.0000 0.0000 0.5000
6 Pb 0.0000 0.5000 0.0000
7 O 0.2531 0.7376 0.5156
8 O 0.2623 0.2701 0.5079
9 O 0.2623 0.7544 0.9921
10 O 0.2780 0.2624 0.0156
11 O 0.7220 0.7376 0.9844
12 O 0.7377 0.2456 0.0079
13 O 0.7377 0.7299 0.4921
14 O 0.7469 0.2624 0.4844


- Look up the uncorrected energy of the second one.
  -5.32 eV/atom